# 1
{
  "formula": "Ti3GeCl",
  "functional": "SCAN",
  "state": "PBEsol geometry",
  "cell": [[4.818, 0.000, 0.000], [0.000, 4.818, 0.000], [0.000, 0.000, 4.818]],
  "species": ["Ti", "Ti", "Ti", "Ge", "Cl"],
  "frac_coords": [[0.000, 0.000, 0.500], [0.000, 0.500, 0.000], [0.500, 0.000, 0.000], [0.000, 0.000, 0.000], [0.500, 0.500, 0.500]],
  "spacegroup": "Pm-3m (221)",
  "e_form_raw_ev_per_atom": 0.36
}

# 2
{
  "formula": "LaTlCd2",
  "functional": "SCAN",
  "state": "PBEsol geometry",
  "cell": [[3.240, -5.581, 0.000], [3.240, 5.581, 0.000], [-1.185, 0.000, 2.858]],
  "species": ["La", "Tl", "Cd", "Cd"],
  "frac_coords": [[0.000, 0.000, 0.000], [0.500, 0.500, 0.000], [0.000, 0.500, 0.500], [0.500, 0.000, 0.500]],
  "spacegroup": "C2/m (12)",
  "formation_enthalpy_0k_ev_per_atom": -0.16
}

# 3
{
  "formula": "LaPAu",
  "functional": "SCAN",
  "state": "PBEsol geometry",
  "cell": [[0.000, 3.291, 3.291], [3.291, 0.000, 3.291], [3.291, 3.291, 0.000]],
  "species": ["La", "P", "Au"],
  "frac_coords": [[0.000, 0.000, 0.000], [0.750, 0.750, 0.750], [0.500, 0.500, 0.500]],
  "spacegroup": "F-43m (216)",
  "formation_enthalpy_0k_ev_per_atom": -0.83
}

# 4
{
  "formula": "BaFeRh",
  "functional": "SCAN",
  "state": "PBEsol geometry",
  "cell": [[4.095, 0.000, 0.000], [-2.048, 3.546, 0.000], [0.000, 0.000, 4.847]],
  "species": ["Ba", "Fe", "Rh"],
  "frac_coords": [[0.000, 0.000, 0.000], [0.333, 0.667, 0.500], [0.667, 0.333, 0.500]],
  "relative_energy_ev_per_atom": 0.000,
  "spacegroup": "P-6m2 (187)",
  "formation_enthalpy_0k_ev_per_atom": 0.13
}

# 5
{
  "formula": "BTe2Os",
  "functional": "SCAN",
  "state": "PBEsol geometry",
  "cell": [[-2.827, 2.827, 5.282], [2.827, -2.827, 5.282], [2.827, 2.827, -5.282]],
  "species": ["B", "B", "Te", "Te", "Te", "Te", "Os", "Os"],
  "frac_coords": [[0.000, 0.000, 0.000], [0.750, 0.250, 0.500], [0.089, 0.625, 0.964], [0.375, 0.339, 0.464], [0.661, 0.125, 0.036], [0.875, 0.911, 0.536], [0.250, 0.750, 0.500], [0.500, 0.500, 0.000]],
  "spacegroup": "I-42d (122)",
  "e_form_raw_ev_per_atom": 0.69
}

# 6
{
  "formula": "MgMo2Ru",
  "functional": "SCAN",
  "state": "PBEsol geometry",
  "cell": [[3.105, 0.000, 0.000], [0.000, 3.105, 0.000], [0.000, 0.000, 6.418]],
  "species": ["Mg", "Mo", "Mo", "Ru"],
  "frac_coords": [[0.000, 0.000, 0.000], [0.000, 0.000, 0.515], [0.500, 0.500, 0.284], [0.500, 0.500, 0.740]],
  "spacegroup": "P4mm (99)",
  "formation_enthalpy_0k_ev_per_atom": 0.19
}

# 7
{
  "formula": "AgPb7",
  "functional": "SCAN",
  "state": "PBEsol geometry",
  "cell": [[0.000, 4.823, 4.823], [4.823, 0.000, 4.823], [4.823, 4.823, 0.000]],
  "species": ["Ag", "Pb", "Pb", "Pb", "Pb", "Pb", "Pb", "Pb"],
  "frac_coords": [[0.000, 0.000, 0.000], [0.000, 0.000, 0.500], [0.000, 0.500, 0.000], [0.000, 0.500, 0.500], [0.500, 0.000, 0.000], [0.500, 0.000, 0.500], [0.500, 0.500, 0.000], [0.500, 0.500, 0.500]],
  "spacegroup": "Fm-3m (225)",
  "formation_enthalpy_0k_ev_per_atom": 0.07
}

# 8
{
  "formula": "BeSb2TeH",
  "functional": "SCAN",
  "state": "PBEsol geometry",
  "cell": [[4.275, 0.000, 0.000], [0.000, 4.275, 0.000], [0.000, 0.000, 5.457]],
  "species": ["Be", "Sb", "Sb", "Te", "H"],
  "frac_coords": [[0.000, 0.000, 0.000], [0.000, 0.500, 0.500], [0.500, 0.000, 0.500], [0.500, 0.500, 0.000], [0.500, 0.500, 0.500]],
  "e_tot_ev_per_cell": -115.5,
  "spacegroup": "P4/mmm (123)"
}

# 9
{
  "formula": "CdTe2Cl2",
  "functional": "SCAN",
  "state": "PBEsol geometry",
  "cell": [[-2.898, 2.898, 4.576], [2.898, -2.898, 4.576], [2.898, 2.898, -4.576]],
  "species": ["Cd", "Te", "Te", "Cl", "Cl"],
  "frac_coords": [[0.000, 0.000, 0.000], [0.362, 0.362, 0.000], [0.638, 0.638, 0.000], [0.250, 0.750, 0.500], [0.750, 0.250, 0.500]],
  "spacegroup": "I4/mmm (139)",
  "e_form_raw_ev_per_atom": 0.08
}

# 10
{
  "formula": "CuNiBr2",
  "functional": "SCAN",
  "state": "PBEsol geometry",
  "cell": [[0.000, 3.285, 3.285], [3.285, 0.000, 3.285], [3.285, 3.285, 0.000]],
  "species": ["Cu", "Ni", "Br", "Br"],
  "frac_coords": [[0.000, 0.000, 0.000], [0.750, 0.750, 0.750], [0.250, 0.250, 0.250], [0.500, 0.500, 0.500]],
  "relative_energy_ev_per_atom": 0.872,
  "spacegroup": "F-43m (216)",
  "e_form_raw_ev_per_atom": 0.90
}

# 11
{
  "formula": "NiP2SI",
  "functional": "SCAN",
  "state": "PBEsol geometry",
  "cell": [[5.007, 0.000, 0.000], [0.000, 5.007, 0.000], [0.000, 0.000, 4.979]],
  "species": ["Ni", "P", "P", "S", "I"],
  "frac_coords": [[0.000, 0.000, 0.000], [0.000, 0.500, 0.500], [0.500, 0.000, 0.500], [0.500, 0.500, 0.000], [0.500, 0.500, 0.500]],
  "spacegroup": "P4/mmm (123)",
  "e_form_raw_ev_per_atom": 1.94
}

# 12
{
  "formula": "TaTl2Cd",
  "functional": "SCAN",
  "state": "PBEsol geometry",
  "cell": [[5.132, -1.559, 0.000], [5.132, 1.559, 0.000], [-1.177, 0.000, 5.359]],
  "species": ["Ta", "Tl", "Tl", "Cd"],
  "frac_coords": [[0.000, 0.000, 0.000], [0.255, 0.255, 0.762], [0.745, 0.745, 0.238], [0.500, 0.500, 0.500]],
  "spacegroup": "C2/m (12)",
  "formation_enthalpy_0k_ev_per_atom": 0.56
}

Number 1: calculated density 3.736 g cm⁻³. Number 2: calculated density 9.127 g cm⁻³. Number 3: calculated density 8.542 g cm⁻³. Number 4: calculated density 6.984 g cm⁻³. Number 5: calculated density 8.976 g cm⁻³. Number 6: calculated density 8.513 g cm⁻³. Number 7: calculated density 11.532 g cm⁻³. Number 8: calculated density 6.346 g cm⁻³. Number 9: calculated density 4.737 g cm⁻³. Number 10: calculated density 6.608 g cm⁻³. Number 11: calculated density 3.720 g cm⁻³. Number 12: calculated density 13.594 g cm⁻³.